*P*
Here is a relaxed PmY3Ho5 crystal from Alexandria. Energies are from PBE.

Geometry as POSCAR:
```
PmY3Ho5
1.0
3.177 9.119 0.330
-3.177 9.119 0.330
0.000 3.988 10.590
Ho Y Pm
10 6 2
direct
0.529 0.149 0.512 Ho
0.606 0.394 0.750 Ho
0.533 0.130 0.212 Ho
0.149 0.529 0.012 Ho
0.467 0.870 0.788 Ho
0.870 0.467 0.288 Ho
0.130 0.533 0.712 Ho
0.394 0.606 0.250 Ho
0.851 0.471 0.988 Ho
0.471 0.851 0.488 Ho
0.000 0.000 0.000 Y
0.994 0.345 0.630 Y
0.006 0.655 0.370 Y
0.345 0.994 0.130 Y
0.655 0.006 0.870 Y
0.000 0.000 0.500 Y
0.137 0.863 0.750 Pm
0.863 0.137 0.250 Pm
```

*Q*
Here is a relaxed PmY3Ho5 crystal from Alexandria. Energies are from PBE.

Geometry as POSCAR:
```
PmY3Ho5
1.0
-7.020 -4.593 -2.156
5.063 -6.102 -3.487
1.272 1.722 9.592
Y Ho Pm
6 10 2
direct
0.382 0.882 0.000 Y
0.750 0.750 0.500 Y
0.118 0.382 0.000 Y
0.882 0.618 0.000 Y
0.250 0.250 0.500 Y
0.618 0.118 0.000 Y
0.843 0.933 0.276 Ho
0.000 0.000 0.000 Ho
0.067 0.567 0.724 Ho
0.933 0.433 0.276 Ho
0.343 0.843 0.276 Ho
0.567 0.657 0.724 Ho
0.157 0.067 0.724 Ho
0.433 0.343 0.276 Ho
0.500 0.500 0.000 Ho
0.657 0.157 0.724 Ho
0.750 0.250 0.500 Pm
0.250 0.750 0.500 Pm
```

*Q* wins, 0.006 eV/atom ahead of the next structure.

*P*
Here is a relaxed PmY7Ho2 crystal from Alexandria. Energies are from PBE.

Geometry as POSCAR:
```
PmY7Ho2
1.0
-4.201 1.052 3.654
-6.104 -1.887 -6.473
3.239 -6.419 5.571
Ho Y Pm
2 7 1
direct
0.500 0.297 0.703 Ho
0.500 0.703 0.297 Ho
0.500 0.706 0.939 Y
0.500 0.061 0.294 Y
0.500 0.294 0.061 Y
0.000 0.224 0.776 Y
0.500 0.939 0.706 Y
0.000 0.776 0.224 Y
0.500 0.500 0.500 Y
0.000 0.000 0.000 Pm
```

*Q*
Here is a relaxed PmY7Ho2 crystal from Alexandria. Energies are from PBE.

Geometry as POSCAR:
```
PmY7Ho2
1.0
1.147 7.557 6.750
-9.840 -0.570 -2.614
-0.572 -2.280 2.649
Y Ho Pm
7 2 1
direct
0.500 0.500 0.500 Y
0.676 0.324 0.000 Y
0.394 0.125 0.500 Y
0.606 0.875 0.500 Y
0.875 0.606 0.500 Y
0.125 0.394 0.500 Y
0.324 0.676 0.000 Y
0.169 0.831 0.500 Ho
0.831 0.169 0.500 Ho
0.000 0.000 0.000 Pm
```

*Q* wins, 0.267 eV/atom ahead of the next structure.

*P*
Here is a relaxed Pm2YHo4 crystal from Alexandria. Energies are from PBE.

Geometry as POSCAR:
```
Pm2YHo4
1.0
-1.427 -1.279 -8.170
-6.113 -6.891 2.419
1.449 10.136 -0.236
Ho Y Pm
8 2 4
direct
0.417 0.526 0.479 Ho
0.846 0.770 0.563 Ho
0.793 0.603 0.754 Ho
0.325 0.124 0.430 Ho
0.476 0.622 0.223 Ho
0.267 0.007 0.666 Ho
0.999 0.272 0.357 Ho
0.902 0.871 0.308 Ho
0.056 0.390 0.123 Y
0.192 0.901 0.912 Y
0.683 0.250 0.763 Pm
0.128 0.492 0.871 Pm
0.526 0.781 0.023 Pm
0.639 0.141 0.026 Pm
```

*Q*
Here is a relaxed Pm2YHo4 crystal from Alexandria. Energies are from PBE.

Geometry as POSCAR:
```
Pm2YHo4
1.0
3.522 0.260 -0.321
-0.900 8.050 -3.320
-0.923 -1.194 8.484
Pm Ho Y
2 4 1
direct
0.069 0.432 0.140 Pm
0.931 0.568 0.860 Pm
0.704 0.293 0.409 Ho
0.296 0.707 0.591 Ho
0.646 0.844 0.291 Ho
0.354 0.156 0.709 Ho
0.000 0.000 0.000 Y
```

*Q* wins, 0.020 eV/atom ahead of the next structure.

*P*
Here is a relaxed Pm3Y2Ho5 crystal from Alexandria. Energies are from PBE.

Geometry as POSCAR:
```
Pm3Y2Ho5
1.0
-8.783 3.259 1.670
-5.763 -1.692 -7.339
5.295 -7.731 5.989
Ho Y Pm
10 4 6
direct
0.145 0.394 0.270 Ho
0.471 0.721 0.441 Ho
0.529 0.279 0.559 Ho
0.976 0.226 0.451 Ho
0.729 0.479 0.958 Ho
0.855 0.606 0.730 Ho
0.375 0.124 0.730 Ho
0.024 0.774 0.549 Ho
0.271 0.521 0.042 Ho
0.625 0.876 0.270 Ho
0.229 0.986 0.263 Y
0.533 0.276 0.263 Y
0.771 0.014 0.737 Y
0.467 0.724 0.737 Y
0.270 0.526 0.748 Pm
0.768 0.018 0.036 Pm
0.730 0.474 0.252 Pm
0.979 0.222 0.748 Pm
0.021 0.778 0.252 Pm
0.232 0.982 0.964 Pm
```

*Q*
Here is a relaxed Pm3Y2Ho5 crystal from Alexandria. Energies are from PBE.

Geometry as POSCAR:
```
Pm3Y2Ho5
1.0
6.661 0.000 0.000
3.330 10.478 0.836
3.330 3.587 9.880
Pm Y Ho
6 4 10
direct
0.173 0.113 0.542 Pm
0.673 0.542 0.113 Pm
0.250 0.000 0.000 Pm
0.327 0.458 0.887 Pm
0.827 0.887 0.458 Pm
0.750 0.000 0.000 Pm
0.468 0.797 0.267 Y
0.032 0.733 0.203 Y
0.532 0.203 0.733 Y
0.968 0.267 0.797 Y
0.250 0.500 0.500 Ho
0.569 0.181 0.181 Ho
0.169 0.420 0.243 Ho
0.431 0.819 0.819 Ho
0.069 0.181 0.181 Ho
0.669 0.243 0.420 Ho
0.931 0.819 0.819 Ho
0.750 0.500 0.500 Ho
0.331 0.757 0.580 Ho
0.831 0.580 0.757 Ho
```

*P* wins, 0.070 eV/atom ahead of the next structure.

*P*
Here is a relaxed Pm8Y2Ho3 crystal from Alexandria. Energies are from PBE.

Geometry as POSCAR:
```
Pm8Y2Ho3
1.0
-4.391 -9.255 6.284
3.373 -2.695 -4.396
3.314 1.857 5.618
Pm Ho Y
8 3 2
direct
0.738 0.254 0.374 Pm
0.197 0.848 0.170 Pm
0.888 0.772 0.311 Pm
0.323 0.376 0.091 Pm
0.677 0.624 0.909 Pm
0.112 0.228 0.689 Pm
0.262 0.746 0.626 Pm
0.803 0.152 0.830 Pm
0.966 0.693 0.773 Ho
0.500 0.000 0.000 Ho
0.034 0.307 0.227 Ho
0.429 0.270 0.574 Y
0.571 0.730 0.426 Y
```

*Q*
Here is a relaxed Pm8Y2Ho3 crystal from Alexandria. Energies are from PBE.

Geometry as POSCAR:
```
Pm8Y2Ho3
1.0
-5.388 -0.853 1.684
1.531 -7.468 1.115
1.931 5.733 9.084
Ho Pm Y
3 8 2
direct
0.000 0.715 0.000 Ho
0.000 0.285 0.000 Ho
0.500 0.000 0.000 Ho
0.500 0.400 0.211 Pm
0.500 0.811 0.211 Pm
0.000 0.869 0.738 Pm
0.500 0.600 0.789 Pm
0.000 0.670 0.341 Pm
0.000 0.131 0.262 Pm
0.500 0.189 0.789 Pm
0.000 0.330 0.659 Pm
0.500 0.241 0.480 Y
0.500 0.759 0.520 Y
```

*P* wins, 0.143 eV/atom ahead of the next structure.